The following is a PBE-GGA calculation of a geometry-optimized Ti5Zn2Ir2 structure, from the Alexandria database.

abc: 6.212 7.367 7.647
angles: 118.79 90.00 90.00
Fractional coordinates of all 18 atoms:
Ti 0.000 0.000 0.000
Ti 0.500 0.500 0.000
Ti 0.829 0.824 0.265
Ti 0.171 0.441 0.265
Ti 0.329 0.941 0.265
Ti 0.671 0.324 0.265
Ti 0.171 0.176 0.735
Ti 0.829 0.559 0.735
Ti 0.671 0.059 0.735
Ti 0.329 0.676 0.735
Zn 0.000 0.215 0.430
Zn 0.500 0.715 0.430
Zn 0.000 0.785 0.570
Zn 0.500 0.285 0.570
Ir 0.631 0.863 0.000
Ir 0.369 0.137 0.000
Ir 0.131 0.637 0.000
Ir 0.869 0.363 0.000

Results
size of the total moment	0.00	Bohr magnetons per cell
VASP energy	-62.44	eV per formula unit
N(E_F)	1.024	states/eV per atom
symmetry	No. 64

---

The following is a PBE-GGA calculation of a geometry-optimized La3Pr6NdEr2 structure, from the Alexandria database.

abc: 6.392 6.392 12.206
angles: 95.03 95.03 120.05
Fractional coordinates of all 12 atoms:
La 0.167 0.833 0.500
La 0.833 0.167 0.500
La 0.500 0.500 0.500
Pr 0.918 0.583 0.755
Pr 0.747 0.747 0.245
Pr 0.082 0.417 0.245
Pr 0.583 0.918 0.755
Pr 0.253 0.253 0.755
Pr 0.417 0.082 0.245
Nd 0.000 0.000 0.000
Er 0.333 0.667 0.000
Er 0.667 0.333 0.000

Results
size of the total moment	0.00	Bohr magnetons per cell
VASP energy	-57.14	eV per formula unit
N(E_F)	1.651	states/eV per atom
symmetry	No. 12

---

The following is a PBE-GGA calculation of a geometry-optimized PmDy2BiC structure, from the Alexandria database.

abc: 5.111 4.918 4.918
angles: 90.00 90.00 90.00
Fractional coordinates of all 5 atoms:
Pm 0.500 0.000 0.000
Dy 0.000 0.000 0.500
Dy 0.000 0.500 0.000
Bi 0.500 0.500 0.500
C 0.000 0.000 0.000

Results
size of the total moment	0.00	Bohr magnetons per cell
VASP energy	-29.61	eV per formula unit
N(E_F)	0.613	states/eV per atom
symmetry	No. 123

---

Here are the calculated energy of formation from the pure elements numbers, same order: -260; 21; -246 (kJ/mol of formula units).